Entry 1:
Material: Gd3Ag5O12
Method: DFT, PBE-GGA
State: relaxed

mass density: 7.07 g cm⁻³
N(E_F): 14.0 states/eV/f.u.
E_form (uncorrected): -1.13 eV/atom

Unit cell a=11.364 b=11.364 c=11.364 alpha=109.47 beta=109.47 gamma=109.47
Atoms (fractional coordinates):
Gd  0.125  0.250  0.375
Gd  0.125  0.375  0.750
Gd  0.250  0.375  0.125
Gd  0.250  0.875  0.625
Gd  0.375  0.125  0.250
Gd  0.375  0.750  0.125
Gd  0.625  0.250  0.875
Gd  0.625  0.875  0.750
Gd  0.750  0.125  0.375
Gd  0.750  0.625  0.875
Gd  0.875  0.625  0.250
Gd  0.875  0.750  0.625
Ag  0.000  0.000  0.000
Ag  0.000  0.000  0.500
Ag  0.000  0.500  0.000
Ag  0.000  0.500  0.500
Ag  0.125  0.750  0.875
Ag  0.125  0.875  0.250
Ag  0.250  0.125  0.875
Ag  0.250  0.625  0.375
Ag  0.375  0.250  0.625
Ag  0.375  0.625  0.750
Ag  0.500  0.000  0.000
Ag  0.500  0.000  0.500
Ag  0.500  0.500  0.000
Ag  0.500  0.500  0.500
Ag  0.625  0.375  0.250
Ag  0.625  0.750  0.375
Ag  0.750  0.375  0.625
Ag  0.750  0.875  0.125
Ag  0.875  0.125  0.750
Ag  0.875  0.250  0.125
O  0.047  0.211  0.135
O  0.047  0.336  0.912
O  0.076  0.711  0.664
O  0.076  0.865  0.412
O  0.088  0.635  0.424
O  0.088  0.953  0.664
O  0.135  0.047  0.211
O  0.135  0.588  0.924
O  0.164  0.211  0.576
O  0.164  0.453  0.588
O  0.211  0.135  0.047
O  0.211  0.576  0.164
O  0.289  0.336  0.924
O  0.289  0.453  0.365
O  0.336  0.912  0.047
O  0.336  0.924  0.289
O  0.365  0.289  0.453
O  0.365  0.576  0.912
O  0.412  0.076  0.865
O  0.412  0.836  0.547
O  0.424  0.088  0.635
O  0.424  0.836  0.789
O  0.453  0.365  0.289
O  0.453  0.588  0.164
O  0.547  0.412  0.836
O  0.547  0.635  0.711
O  0.576  0.164  0.211
O  0.576  0.912  0.365
O  0.588  0.164  0.453
O  0.588  0.924  0.135
O  0.635  0.424  0.088
O  0.635  0.711  0.547
O  0.664  0.076  0.711
O  0.664  0.088  0.953
O  0.711  0.547  0.635
O  0.711  0.664  0.076
O  0.789  0.424  0.836
O  0.789  0.865  0.953
O  0.836  0.547  0.412
O  0.836  0.789  0.424
O  0.865  0.412  0.076
O  0.865  0.953  0.789
O  0.912  0.047  0.336
O  0.912  0.365  0.576
O  0.924  0.135  0.588
O  0.924  0.289  0.336
O  0.953  0.664  0.088
O  0.953  0.789  0.865

Entry 2:
Material: Pr2DyPt
Method: DFT, PBE-GGA
State: relaxed

E_form: -0.494 eV/atom
mass density: 8.12 g cm⁻³
N(E_F): 4.7 states/eV/f.u.
energy above the most stable polymorph in this dataset: 137 meV/atom

Unit cell a=6.802 b=6.639 c=11.578 alpha=90.00 beta=90.00 gamma=90.00
Atoms (fractional coordinates):
Pr  0.086  0.234  0.086
Pr  0.086  0.266  0.414
Pr  0.414  0.734  0.414
Pr  0.414  0.766  0.086
Pr  0.586  0.234  0.914
Pr  0.586  0.266  0.586
Pr  0.914  0.734  0.586
Pr  0.914  0.766  0.914
Dy  0.057  0.250  0.750
Dy  0.443  0.750  0.750
Dy  0.557  0.250  0.250
Dy  0.943  0.750  0.250
Pt  0.250  0.000  0.595
Pt  0.250  0.500  0.905
Pt  0.750  0.000  0.405
Pt  0.750  0.500  0.095

Entry 3:
Material: DyY2Th2
Method: DFT, PBE-GGA
State: relaxed

E_form: 0.303 eV/atom
mass density: 7.90 g cm⁻³
N(E_F): 9.7 states/eV/f.u.
energy above the most stable polymorph in this dataset: 232 meV/atom

Unit cell a=6.394 b=6.394 c=8.751 alpha=102.58 beta=102.58 gamma=94.31
Atoms (fractional coordinates):
Dy  0.203  0.797  0.750
Dy  0.797  0.203  0.250
Y  0.059  0.255  0.632
Y  0.255  0.059  0.132
Y  0.745  0.941  0.868
Y  0.941  0.745  0.368
Th  0.000  0.500  0.000
Th  0.500  0.000  0.500
Th  0.500  0.500  0.000
Th  0.500  0.500  0.500

Entry 4:
Material: LaTcTe2
Method: DFT, PBE-GGA
State: relaxed

mass density: 7.15 g cm⁻³
N(E_F): 2.9 states/eV/f.u.
energy above the most stable polymorph in this dataset: 404 meV/atom
E_form (uncorrected): -0.39 eV/atom

Unit cell a=4.824 b=4.034 c=11.745 alpha=90.00 beta=90.00 gamma=90.00
Atoms (fractional coordinates):
La  0.000  0.000  0.000
La  0.000  0.500  0.500
Tc  0.500  0.000  0.645
Tc  0.500  0.500  0.145
Te  0.000  0.000  0.720
Te  0.000  0.500  0.220
Te  0.500  0.000  0.418
Te  0.500  0.500  0.918

Entry 5:
Material: P3HRh
Method: DFT, PBE-GGA
State: relaxed

mass density: 3.38 g cm⁻³
N(E_F): 4.9 states/eV/f.u.
energy above the most stable polymorph in this dataset: 532 meV/atom

Unit cell a=4.588 b=4.588 c=4.588 alpha=90.00 beta=90.00 gamma=90.00
Atoms (fractional coordinates):
P  0.000  0.000  0.500
P  0.000  0.500  0.000
P  0.500  0.000  0.000
H  0.500  0.500  0.500
Rh  0.000  0.000  0.000

Entry 6:
Material: LaTlGa
Method: DFT, PBE-GGA
State: relaxed

E_form: -0.436 eV/atom
mass density: 8.22 g cm⁻³
N(E_F): 1.7 states/eV/f.u.
energy above the most stable polymorph in this dataset: 20 meV/atom

Unit cell a=3.851 b=19.988 c=4.336 alpha=90.00 beta=90.00 gamma=90.00
Atoms (fractional coordinates):
La  0.000  0.099  0.250
La  0.000  0.901  0.750
La  0.500  0.401  0.750
La  0.500  0.599  0.250
Tl  0.000  0.290  0.250
Tl  0.000  0.710  0.750
Tl  0.500  0.210  0.750
Tl  0.500  0.790  0.250
Ga  0.000  0.466  0.250
Ga  0.000  0.534  0.750
Ga  0.500  0.034  0.750
Ga  0.500  0.966  0.250

Entry 7:
Material: ZrTlRe2
Method: DFT, PBE-GGA
State: relaxed

E_form: 0.543 eV/atom
mass density: 14.97 g cm⁻³
N(E_F): 2.1 states/eV/f.u.
energy above the most stable polymorph in this dataset: 395 meV/atom

Unit cell a=3.242 b=4.846 c=9.435 alpha=90.00 beta=90.00 gamma=90.00
Atoms (fractional coordinates):
Zr  0.000  0.000  0.000
Zr  0.500  0.500  0.000
Tl  0.000  0.000  0.500
Tl  0.500  0.500  0.500
Re  0.000  0.500  0.237
Re  0.000  0.500  0.763
Re  0.500  0.000  0.237
Re  0.500  0.000  0.763

Entry 8:
Material: Si2Pb3Au6
Method: DFT, PBE-GGA
State: relaxed

mass density: 12.78 g cm⁻³
N(E_F): 3.7 states/eV/f.u.
E_form (uncorrected): -0.04 eV/atom

Unit cell a=12.293 b=12.293 c=12.293 alpha=158.86 beta=158.86 gamma=30.08
Atoms (fractional coordinates):
Si  0.051  0.051  0.000
Si  0.949  0.949  0.000
Pb  0.300  0.300  0.000
Pb  0.500  0.500  0.000
Pb  0.700  0.700  0.000
Au  0.097  0.597  0.500
Au  0.178  0.178  0.000
Au  0.403  0.903  0.500
Au  0.597  0.097  0.500
Au  0.822  0.822  0.000
Au  0.903  0.403  0.500

> What is the formula in the third record?

DyY2Th2

> Among the records above, which one has the highest N(E_F)?

Gd3Ag5O12

Please write out number 6 again, unchanged.
Material: LaTlGa
Method: DFT, PBE-GGA
State: relaxed

E_form: -0.436 eV/atom
mass density: 8.22 g cm⁻³
N(E_F): 1.7 states/eV/f.u.
energy above the most stable polymorph in this dataset: 20 meV/atom

Unit cell a=3.851 b=19.988 c=4.336 alpha=90.00 beta=90.00 gamma=90.00
Atoms (fractional coordinates):
La  0.000  0.099  0.250
La  0.000  0.901  0.750
La  0.500  0.401  0.750
La  0.500  0.599  0.250
Tl  0.000  0.290  0.250
Tl  0.000  0.710  0.750
Tl  0.500  0.210  0.750
Tl  0.500  0.790  0.250
Ga  0.000  0.466  0.250
Ga  0.000  0.534  0.750
Ga  0.500  0.034  0.750
Ga  0.500  0.966  0.250